1.
The following is a DFT calculation (PBE) of a geometry-optimized VN structure.

- SG: No. 176
- Formation energy (no corrections): -0.80 eV per atom
- Magnetic moment: 0.0 μB per formula unit
- V: 154 Å³ per cell

Cell: 7.294 7.294 3.332 Å, 90.00 90.00 120.00°
Fractional coordinates of all 12 atoms:
V 0.959 0.345 0.250
V 0.614 0.959 0.750
V 0.655 0.614 0.250
V 0.041 0.655 0.750
V 0.386 0.041 0.250
V 0.345 0.386 0.750
N 0.682 0.108 0.250
N 0.573 0.682 0.750
N 0.892 0.573 0.250
N 0.318 0.892 0.750
N 0.427 0.318 0.250
N 0.108 0.427 0.750



2.
The following is a DFT calculation (PBE) of a geometry-optimized NbCuTe6 structure.

- SG: No. 2
- Formation energy (no corrections): -0.04 eV per atom
- Magnetic moment: 0.0 μB per formula unit
- V: 228 Å³ per cell

Cell: 6.467 6.874 7.906 Å, 57.36 56.54 55.65°
Fractional coordinates of all 8 atoms:
Nb 0.500 0.500 0.500
Cu 0.000 0.000 0.000
Te 0.007 0.489 0.800
Te 0.713 0.089 0.807
Te 0.542 0.211 0.325
Te 0.287 0.911 0.193
Te 0.993 0.511 0.200
Te 0.458 0.789 0.675



3.
The following is a DFT calculation (PBE) of a geometry-optimized MgZnSe2 structure.

- SG: No. 62
- Formation energy (no corrections): -0.88 eV per atom
- Magnetic moment: 0.0 μB per formula unit
- V: 401 Å³ per cell

Cell: 6.554 3.880 15.750 Å, 90.00 90.00 90.00°
Fractional coordinates of all 16 atoms:
Zn 0.940 0.250 0.583
Zn 0.560 0.750 0.083
Zn 0.060 0.750 0.417
Zn 0.440 0.250 0.917
Mg 0.603 0.250 0.289
Mg 0.897 0.750 0.789
Mg 0.397 0.750 0.711
Mg 0.103 0.250 0.211
Se 0.830 0.250 0.425
Se 0.670 0.750 0.925
Se 0.170 0.750 0.575
Se 0.330 0.250 0.075
Se 0.186 0.250 0.803
Se 0.314 0.750 0.303
Se 0.814 0.750 0.197
Se 0.686 0.250 0.697